Entry 1:
Tb6Th3Sc after structural relaxation, computed with GGA-PBE.

```
Tb6Th3Sc
1.0
4.902 2.830 3.946
-4.902 2.830 3.946
0.000 -5.661 3.946
Tb Th Sc
6 3 1
Direct
0.089 0.749 0.422
0.251 0.578 0.911
0.422 0.089 0.749
0.578 0.911 0.251
0.749 0.422 0.089
0.911 0.251 0.578
0.000 0.000 0.000
0.255 0.255 0.255
0.745 0.745 0.745
0.500 0.500 0.500
```

## Properties
Space group: No. 148
Crystal system: trigonal
Energy relative to the elements, eV/atom: 0.31

***

Entry 2:
Ca4TlAgHg2 after structural relaxation, computed with GGA-PBE.

```
Ca4TlAgHg2
1.0
2.678 1.546 8.815
-2.678 1.546 8.815
0.000 -3.093 8.815
Ca Tl Ag Hg
4 1 1 2
Direct
0.123 0.123 0.123
0.373 0.373 0.373
0.627 0.627 0.627
0.877 0.877 0.877
0.500 0.500 0.500
0.000 0.000 0.000
0.250 0.250 0.250
0.750 0.750 0.750
```

## Properties
Space group: No. 166
Crystal system: trigonal
Energy relative to the elements, eV/atom: -0.46

***

Entry 3:
Al6Ga12Ir after structural relaxation, computed with GGA-PBE.

```
Al6Ga12Ir
1.0
4.697 2.712 4.525
-4.697 2.712 4.525
0.000 -5.424 4.525
Al Ga Ir
6 12 1
Direct
0.237 0.632 0.758
0.242 0.763 0.368
0.368 0.242 0.763
0.632 0.758 0.237
0.758 0.237 0.632
0.763 0.368 0.242
0.008 0.663 0.101
0.101 0.008 0.663
0.123 0.369 0.428
0.337 0.899 0.992
0.369 0.428 0.123
0.428 0.123 0.369
0.572 0.877 0.631
0.631 0.572 0.877
0.663 0.101 0.008
0.877 0.631 0.572
0.899 0.992 0.337
0.992 0.337 0.899
0.500 0.500 0.500
```

## Properties
Space group: No. 148
Crystal system: trigonal
Energy relative to the elements, eV/atom: -0.02

***

Entry 4:
Pr6Sm8Ho after structural relaxation, computed with GGA-PBE.

```
Pr6Sm8Ho
1.0
4.641 2.680 7.038
-4.641 2.680 7.038
0.000 -5.359 7.038
Pr Sm Ho
6 8 1
Direct
0.039 0.735 0.599
0.265 0.401 0.961
0.401 0.961 0.265
0.599 0.039 0.735
0.735 0.599 0.039
0.961 0.265 0.401
0.077 0.077 0.077
0.217 0.251 0.613
0.251 0.613 0.217
0.387 0.783 0.749
0.613 0.217 0.251
0.749 0.387 0.783
0.783 0.749 0.387
0.923 0.923 0.923
0.500 0.500 0.500
```

## Properties
Space group: No. 148
Crystal system: trigonal
Energy relative to the elements, eV/atom: 0.11

***

Entry 5:
Sr5TlPd2 after structural relaxation, computed with GGA-PBE.

```
Sr5TlPd2
1.0
-4.208 4.208 7.735
4.208 -4.208 7.735
4.208 4.208 -7.735
Sr Tl Pd
10 2 4
Direct
0.000 0.000 0.000
0.033 0.533 0.837
0.196 0.033 0.500
0.304 0.804 0.837
0.467 0.304 0.500
0.500 0.500 0.000
0.533 0.696 0.500
0.696 0.196 0.163
0.804 0.967 0.500
0.967 0.467 0.163
0.250 0.250 0.000
0.750 0.750 0.000
0.123 0.377 0.500
0.377 0.877 0.255
0.623 0.123 0.745
0.877 0.623 0.500
```

## Properties
Space group: No. 140
Crystal system: tetragonal
Energy relative to the elements, eV/atom: -0.49

***

Entry 6:
Pm2Be2CdPd5 after structural relaxation, computed with GGA-PBE.

```
Pm2Be2CdPd5
1.0
9.841 0.000 0.000
0.000 9.841 0.000
0.000 0.000 3.534
Pm Be Cd Pd
4 4 2 10
Direct
0.179 0.321 0.000
0.321 0.821 0.000
0.679 0.179 0.000
0.821 0.679 0.000
0.116 0.616 0.000
0.384 0.116 0.000
0.616 0.884 0.000
0.884 0.384 0.000
0.000 0.000 0.000
0.500 0.500 0.000
0.000 0.500 0.500
0.068 0.778 0.500
0.222 0.068 0.500
0.278 0.568 0.500
0.432 0.278 0.500
0.500 0.000 0.500
0.568 0.722 0.500
0.722 0.432 0.500
0.778 0.932 0.500
0.932 0.222 0.500
```

## Properties
Space group: No. 127
Crystal system: tetragonal
Energy relative to the elements, eV/atom: -0.66

***

Entry 7:
PdPb2AuSe after structural relaxation, computed with GGA-PBE.

```
PdPb2AuSe
1.0
5.339 0.000 0.000
0.000 5.339 0.000
0.000 0.000 5.046
Pd Pb Au Se
1 2 1 1
Direct
0.000 0.000 0.000
0.000 0.500 0.000
0.500 0.000 0.000
0.000 0.000 0.500
0.500 0.500 0.500
```

## Properties
Energy, eV per atom: -3.71
Space group: No. 123
Crystal system: tetragonal

***

Entry 8:
Sm3Tm2Th2 after structural relaxation, computed with GGA-PBE.

```
Sm3Tm2Th2
1.0
8.714 -1.733 0.000
8.714 1.733 0.000
-4.200 0.000 7.531
Sm Tm Th
3 2 2
Direct
0.000 0.000 0.000
0.215 0.215 0.134
0.785 0.785 0.866
0.437 0.437 0.281
0.563 0.563 0.719
0.150 0.150 0.461
0.850 0.850 0.539
```

## Properties
Space group: No. 12
Energy relative to the lowest polymorph listed for this composition, meV/atom: 104
Crystal system: monoclinic
Energy relative to the elements, eV/atom: 0.14

***

What are the M_tot values for these records? In order: 0.000 0.000 0.000 0.000 0.000 0.000 0.000 0.000 μB/f.u..